Here is Li2P after structural relaxation from Alexandria via LeMat-Bulk. Energies are from PBE.

```
3
Lattice="-1.428 1.428 5.964 1.428 -1.428 5.964 1.428 1.428 -5.964" Properties=species:S:1:pos:R:3 pbc="T T T"
Li 0.000 0.000 1.578
Li 0.000 0.000 10.349
P 0.000 0.000 5.964
```

Computed properties:
E_tot ... -3.386 eV per atom
Total magnetization ... 0.00 μB/atom
ΔE_f ... -0.3068 eV/atom